(1)
A plane-wave DFT calculation with PBE with a Hubbard U was carried out for a relaxed structure of KAc2CoO5.

The value obtained for the total energy is -0.247 Ha/atom.

It has space group P4/mbm (No. 127), with a = 7.1849 Å, b = 7.1849 Å, c = 5.7592 Å, α = 90.00°, β = 90.00° and γ = 90.00°. The asymmetric unit holds K at (0.0000, 0.0000, 0.0000), Ac at (0.1814, 0.3186, 0.5000), Co at (0.0000, 0.5000, 0.0000), O at (0.0000, 0.0000, 0.5000) and O at (0.1262, 0.6262, 0.2322).


(2)
A plane-wave DFT calculation with PBE with a Hubbard U was carried out for a relaxed structure of KAc2Co2O6.

The value obtained for the total energy is -0.231 Ha/atom.

It has space group R-3m (No. 166, hexagonal axes), with a = 5.9710 Å, b = 5.9710 Å, c = 20.2253 Å, α = 90.00°, β = 90.00° and γ = 120.00°. The asymmetric unit holds K at (0.0000, 0.0000, 0.0000), Ac at (0.0000, 0.0000, 0.1944), Co at (0.0000, 0.0000, 0.4318) and O at (0.0144, 0.5072, 0.7732).


(3)
A plane-wave DFT calculation with PBE with a Hubbard U was carried out for a relaxed structure of K2AcCoO4.

The value obtained for the total energy is -0.210 Ha/atom.

It has space group I-4 (No. 82), with a = 6.1876 Å, b = 6.1876 Å, c = 7.2106 Å, α = 90.00°, β = 90.00° and γ = 90.00°. The asymmetric unit holds K at (0.0000, 0.0000, 0.0000), K at (0.0000, 0.5000, 0.2500), Ac at (0.0000, 0.5000, 0.7500), Co at (0.0000, 0.0000, 0.5000) and O at (0.1804, 0.2307, 0.5595).


(4)
A plane-wave DFT calculation with PBE with a Hubbard U was carried out for a relaxed structure of KAc2CoO4.

The value obtained for the total energy is -0.232 Ha/atom.

It has space group I4/mmm (No. 139), with a = 6.0860 Å, b = 6.0860 Å, c = 6.8727 Å, α = 90.00°, β = 90.00° and γ = 90.00°. The asymmetric unit holds K at (0.0000, 0.0000, 0.0000), Ac at (0.0000, 0.5000, 0.2500), Co at (0.0000, 0.0000, 0.5000) and O at (0.2240, 0.2240, 0.5000).


(5)
A plane-wave DFT calculation with PBE with a Hubbard U was carried out for a relaxed structure of K3Ac3CoO8.

The value obtained for the total energy is -0.224 Ha/atom.

It has space group R-3m (No. 166, hexagonal axes), with a = 7.3255 Å, b = 7.3255 Å, c = 18.9735 Å, α = 90.00°, β = 90.00° and γ = 120.00°. The asymmetric unit holds K at (0.0000, 0.5000, 0.0000), Ac at (0.0000, 0.5000, 0.5000), Co at (0.0000, 0.0000, 0.5000), O at (0.0000, 0.0000, 0.2341) and O at (0.0486, 0.5243, 0.2247).


(6)
A plane-wave DFT calculation with PBE with a Hubbard U was carried out for a relaxed structure of K3Ac2CoO6.

The value obtained for the total energy is -0.214 Ha/atom.

It has space group C2/m (No. 12), with a = 6.2993 Å, b = 10.7945 Å, c = 6.6422 Å, α = 90.00°, β = 107.82° and γ = 90.00°. The asymmetric unit holds K at (0.0000, 0.0000, 0.0000), K at (0.0000, 0.3491, 0.0000), Ac at (0.0000, 0.1668, 0.5000), Co at (0.0000, 0.5000, 0.5000), O at (0.2024, 0.3593, 0.6819) and O at (0.2447, 0.0000, 0.7026).


(7)
A plane-wave DFT calculation with PBE with a Hubbard U was carried out for a relaxed structure of KAc2CoO6.

The value obtained for the total energy is -0.238 Ha/atom.

It has space group P2_1/c (No. 14), with a = 5.7066 Å, b = 6.2936 Å, c = 10.0994 Å, α = 90.00°, β = 123.91° and γ = 90.00°. The asymmetric unit holds K at (0.0000, 0.0000, 0.0000), Ac at (0.2252, 0.0622, 0.7429), Co at (0.5000, 0.0000, 0.5000), O at (0.1924, 0.1541, 0.4627), O at (0.2666, 0.7452, 0.4178) and O at (0.4043, 0.0676, 0.2923).


(8)
A plane-wave DFT calculation with PBE with a Hubbard U was carried out for a relaxed structure of KAc3Co4O12.

The value obtained for the total energy is -0.237 Ha/atom.

It has space group R32 (No. 155, hexagonal axes), with a = 11.8554 Å, b = 11.8554 Å, c = 9.7257 Å, α = 90.00°, β = 90.00° and γ = 120.00°. The asymmetric unit holds K at (0.0000, 0.0000, 0.0000), Ac at (0.0000, 0.5447, 0.0000), Co at (0.0000, 0.0000, 0.5000), Co at (0.0000, 0.4547, 0.5000), O at (0.0000, 0.6015, 0.5000), O at (0.0000, 0.8501, 0.5000) and O at (0.0146, 0.1998, 0.1950).


(9)
A plane-wave DFT calculation with PBE with a Hubbard U was carried out for a relaxed structure of K2AcCo2O6.

The value obtained for the total energy is -0.213 Ha/atom.

It has space group R-3m (No. 166, hexagonal axes), with a = 6.1828 Å, b = 6.1828 Å, c = 19.5435 Å, α = 90.00°, β = 90.00° and γ = 120.00°. The asymmetric unit holds K at (0.0000, 0.0000, 0.2002), Ac at (0.0000, 0.0000, 0.0000), Co at (0.0000, 0.0000, 0.4189) and O at (0.0096, 0.5048, 0.2487).